First-principles (PBE) data for a geometry-optimized Rb2NbAgS4 structure, as listed in Alexandria.

The energy comes out at -4.943 eV per atom. The calculation puts the excess energy over the best structure of this formula in the dataset at 0.0000 eV/atom. The volume is 2004 Å³ per cell. The value obtained for the formation energy without anion corrections is -1.02 eV/atom. The calculation puts the density of states at the Fermi level at 0.00 states/eV per atom.

It has space group Fddd (No. 70, origin choice 2), with a = 5.973 Å, b = 13.938 Å, c = 24.076 Å, α = 90.00°, β = 90.00° and γ = 90.00°. Symmetry generates all atoms from Rb at (0.125, 0.125, 0.304), Nb at (0.125, 0.125, 0.125), Ag at (0.125, 0.125, 0.625) and S at (0.090, 0.276, 0.431).


First-principles (PBE) data for a geometry-optimized Y10Tl3Pb3 structure, as listed in Alexandria.

The energy comes out at -5.656 eV per atom. The volume is 475 Å³ per cell. The calculation puts the density of states at the Fermi level at 0.78 states/eV per atom.

It has space group P-62m (No. 189), with a = 9.0211 Å, b = 9.0211 Å, c = 6.7338 Å, α = 90.00°, β = 90.00° and γ = 120.00°. Symmetry generates all atoms from Y at (0.0000, 0.2366, 0.0000), Y at (0.0000, 0.7630, 0.5000), Y at (0.3333, 0.6667, 0.2556), Tl at (0.0000, 0.3982, 0.5000) and Pb at (0.0000, 0.6017, 0.0000).


First-principles (PBE) data for a geometry-optimized SmTe2As2Pd7 structure, as listed in Alexandria.

The energy comes out at -5.206 eV per atom. The volume is 494 Å³ per cell. The value obtained for the formation energy without anion corrections is -0.48 eV/atom. The calculation puts the density of states at the Fermi level at 0.58 states/eV per atom.

It has space group C2/m (No. 12), with a = 5.722 Å, b = 5.720 Å, c = 15.348 Å, α = 90.00°, β = 100.62° and γ = 90.00°. Symmetry generates all atoms from Sm at (0.000, 0.000, 0.000), Te at (0.208, 0.000, 0.419), As at (0.119, 0.500, 0.241), Pd at (0.000, 0.500, 0.000), Pd at (0.178, 0.250, 0.854) and Pd at (0.200, 0.500, 0.403).


First-principles (PBE) data for a geometry-optimized SnBi2PbCl structure, as listed in Alexandria.

The energy comes out at -3.061 eV per atom. The volume is 172 Å³ per cell. The value obtained for the formation energy without anion corrections is 0.40 eV/atom. The calculation puts the density of states at the Fermi level at 0.57 states/eV per atom.

It has space group P4/mmm (No. 123), with a = 5.586 Å, b = 5.586 Å, c = 5.521 Å, α = 90.00°, β = 90.00° and γ = 90.00°. Symmetry generates all atoms from Sn at (0.000, 0.000, 0.000), Bi at (0.000, 0.500, 0.500), Pb at (0.500, 0.500, 0.000) and Cl at (0.500, 0.500, 0.500).


First-principles (PBE) data for a geometry-optimized Tl2InCl3 structure, as listed in Alexandria.

The energy comes out at -3.094 eV per atom. The calculation puts the excess energy over the best structure of this formula in the dataset at 0.0166 eV/atom. The volume is 1223 Å³ per cell. The value obtained for the formation energy without anion corrections is -0.93 eV/atom. The calculation puts the density of states at the Fermi level at 0.00 states/eV per atom.

It has space group R-3c (No. 167, hexagonal axes), with a = 7.7307 Å, b = 7.7307 Å, c = 23.6326 Å, α = 90.00°, β = 90.00° and γ = 120.00°. Symmetry generates all atoms from Tl at (0.0000, 0.0000, 0.1669), In at (0.0000, 0.0000, 0.0000) and Cl at (0.0000, 0.3387, 0.2500).


First-principles (PBE) data for a geometry-optimized PrSm2Si2 structure, as listed in Alexandria.

The energy comes out at -5.635 eV per atom. The calculation puts the excess energy over the best structure of this formula in the dataset at 0.0000 eV/atom. The volume is 257 Å³ per cell. The value obtained for the formation energy without anion corrections is -0.62 eV/atom. The calculation puts the density of states at the Fermi level at 1.17 states/eV per atom.

It has space group P4/mbm (No. 127), with a = 7.793 Å, b = 7.793 Å, c = 4.233 Å, α = 90.00°, β = 90.00° and γ = 90.00°. Symmetry generates all atoms from Pr at (0.000, 0.000, 0.000), Sm at (0.176, 0.324, 0.500) and Si at (0.111, 0.611, 0.000).


First-principles (PBE) data for a geometry-optimized Ga2FeGeI structure, as listed in Alexandria.

The energy comes out at -2.783 eV per atom. The volume is 150 Å³ per cell. The value obtained for the formation energy without anion corrections is 1.35 eV/atom. The calculation puts the density of states at the Fermi level at 1.59 states/eV per atom.

It has space group P4/mmm (No. 123), with a = 5.731 Å, b = 5.731 Å, c = 4.576 Å, α = 90.00°, β = 90.00° and γ = 90.00°. Symmetry generates all atoms from Ga at (0.000, 0.500, 0.000), Fe at (0.000, 0.000, 0.500), Ge at (0.500, 0.500, 0.500) and I at (0.000, 0.000, 0.000).


First-principles (PBE) data for a geometry-optimized Rb4MgNp3Te8 structure, as listed in Alexandria.

The energy comes out at -5.220 eV per atom. The volume is 1840 Å³ per cell. The value obtained for the formation energy without anion corrections is -0.88 eV/atom. The calculation puts the density of states at the Fermi level at 1.55 states/eV per atom.

It has space group R-3m (No. 166, hexagonal axes), with a = 9.1356 Å, b = 9.1356 Å, c = 25.4556 Å, α = 90.00°, β = 90.00° and γ = 120.00°. Symmetry generates all atoms from Rb at (0.0000, 0.0000, 0.0000), Rb at (0.0000, 0.5000, 0.0000), Mg at (0.0000, 0.0000, 0.5000), Np at (0.0000, 0.5000, 0.5000), Te at (0.0000, 0.0000, 0.2332) and Te at (0.0043, 0.5022, 0.2317).